A relaxed SrPu2UAs4 crystal, computed with PBE.

abc: 5.924 5.924 7.263
angles: 114.05 114.05 90.04
Element x y z (fractional)
Sr1 0.500 0.500 0.000
Pu1 0.250 0.750 0.500
Pu2 0.000 0.000 0.000
U1 0.750 0.250 0.500
As1 0.993 0.493 0.985
As2 0.507 0.007 0.015
As3 0.760 0.760 0.520
As4 0.240 0.240 0.480

Values from the calculation:
ΔE_f ... -925 meV per atom
Electronic total energy ... -8.45 eV per atom
Crystal system ... tetragonal
N(E_F) ... 28.70 states/eV/cell
Total moment ... 11.990 Bohr magnetons per cell
Volume ... 26.03 A^3/atom